1.
# AlNi | the Alexandria database | PBE-GGA | optimized geometry
# formation enthalpy at 0 K = -0.543 eV per atom
data_AlNi
_space_group_name_H-M_alt 'C 1 m 1'
_space_group_IT_number 8
_cell_length_a 8.878
_cell_length_b 2.790
_cell_length_c 6.372
_cell_angle_alpha 90.00
_cell_angle_beta 109.31
_cell_angle_gamma 90.00
loop_
_space_group_symop_operation_xyz
'x,y,z'
'x,-y,z'
'x+1/2,y+1/2,z'
'x+1/2,-y+1/2,z'
loop_
_atom_site_label
_atom_site_type_symbol
_atom_site_fract_x
_atom_site_fract_y
_atom_site_fract_z
Al1 Al 0.000 0.000 0.000
Al2 Al 0.069 0.000 0.597
Al3 Al 0.344 0.000 0.254
Ni1 Ni 0.144 0.500 0.330
Ni2 Ni 0.207 0.500 0.922
Ni3 Ni 0.358 0.000 0.667

***

2.
# CoCu2Ru | the Alexandria database | PBE-GGA | optimized geometry
# energy above the lowest structure with this stoichiometry = 0.125 eV/atom
# formation enthalpy at 0 K = 0.280 eV per atom
data_CoCu2Ru
_space_group_name_H-M_alt 'P 1 2/m 1'
_space_group_IT_number 10
_cell_length_a 2.500
_cell_length_b 4.357
_cell_length_c 4.594
_cell_angle_alpha 90.00
_cell_angle_beta 94.77
_cell_angle_gamma 90.00
loop_
_space_group_symop_operation_xyz
'x,y,z'
'-x,-y,-z'
'-x,y,-z'
'x,-y,z'
loop_
_atom_site_label
_atom_site_type_symbol
_atom_site_fract_x
_atom_site_fract_y
_atom_site_fract_z
Co1 Co 0.000 0.000 0.000
Cu1 Cu 0.210 0.500 0.755
Ru1 Ru 0.500 0.000 0.500

***

3.
# EuYIn4 | the Alexandria database | PBE-GGA | optimized geometry
# formation enthalpy at 0 K = -0.367 eV per atom
data_EuYIn4
_space_group_name_H-M_alt 'F -4 3 m'
_space_group_IT_number 216
_space_group_name_Hall 'F -4 2 3'
_cell_length_a 8.606
_cell_length_b 8.606
_cell_length_c 8.606
_cell_angle_alpha 90.00
_cell_angle_beta 90.00
_cell_angle_gamma 90.00
loop_
_atom_site_label
_atom_site_type_symbol
_atom_site_fract_x
_atom_site_fract_y
_atom_site_fract_z
Eu1 Eu 0.000 0.000 0.000
Y1 Y 0.250 0.250 0.750
In1 In 0.125 0.125 0.375

***

4.
# NiBH | the Alexandria database | PBE-GGA | optimized geometry
# energy above the lowest structure with this stoichiometry = 0.000 eV/atom
data_NiBH
_space_group_name_H-M_alt 'P 1'
_space_group_IT_number 1
_cell_length_a 3.861
_cell_length_b 5.441
_cell_length_c 8.580
_cell_angle_alpha 85.25
_cell_angle_beta 77.38
_cell_angle_gamma 85.29
loop_
_space_group_symop_operation_xyz
'x,y,z'
loop_
_atom_site_label
_atom_site_type_symbol
_atom_site_fract_x
_atom_site_fract_y
_atom_site_fract_z
Ni1 Ni 0.000 0.000 0.000
Ni2 Ni 0.004 0.842 0.582
Ni3 Ni 0.159 0.792 0.271
Ni4 Ni 0.407 0.261 0.313
Ni5 Ni 0.417 0.844 0.761
Ni6 Ni 0.529 0.497 0.522
Ni7 Ni 0.727 0.445 0.059
Ni8 Ni 0.930 0.432 0.713
B1 B 0.062 0.515 0.458
B2 B 0.260 0.166 0.587
B3 B 0.419 0.121 0.085
B4 B 0.523 0.850 0.989
B5 B 0.672 0.159 0.651
B6 B 0.892 0.749 0.847
B7 B 0.896 0.445 0.295
B8 B 0.971 0.160 0.215
H1 H 0.039 0.517 0.881
H2 H 0.239 0.038 0.453
H3 H 0.408 0.662 0.096
H4 H 0.417 0.324 0.993
H5 H 0.559 0.777 0.572
H6 H 0.659 0.229 0.794
H7 H 0.791 0.999 0.316
H8 H 0.914 0.621 0.177

***

5.
# Ac2VGe4Ir3 | the Alexandria database | PBE-GGA | optimized geometry
# formation enthalpy at 0 K = -0.636 eV per atom
data_Ac2VGe4Ir3
_space_group_name_H-M_alt 'P -4 m 2'
_space_group_IT_number 115
_cell_length_a 4.395
_cell_length_b 4.395
_cell_length_c 10.413
_cell_angle_alpha 90.00
_cell_angle_beta 90.00
_cell_angle_gamma 90.00
loop_
_space_group_symop_operation_xyz
'x,y,z'
'y,-x,-z'
'-x,-y,z'
'-y,x,-z'
'-x,y,z'
'-y,-x,-z'
'x,-y,z'
'y,x,-z'
loop_
_atom_site_label
_atom_site_type_symbol
_atom_site_fract_x
_atom_site_fract_y
_atom_site_fract_z
Ac1 Ac 0.000 0.500 0.247
V1 V 0.000 0.000 0.500
Ge1 Ge 0.000 0.000 0.000
Ge2 Ge 0.000 0.500 0.629
Ge3 Ge 0.500 0.500 0.000
Ir1 Ir 0.000 0.500 0.878
Ir2 Ir 0.500 0.500 0.500

***

6.
# MoOsW2 | the Alexandria database | PBE-GGA | optimized geometry
# energy above the lowest structure with this stoichiometry = 0.105 eV/atom
# formation enthalpy at 0 K = 0.241 eV per atom
data_MoOsW2
_space_group_name_H-M_alt 'I -4 m 2'
_space_group_IT_number 119
_space_group_name_Hall 'I -4 -2'
_cell_length_a 3.931
_cell_length_b 3.931
_cell_length_c 8.155
_cell_angle_alpha 90.00
_cell_angle_beta 90.00
_cell_angle_gamma 90.00
loop_
_atom_site_label
_atom_site_type_symbol
_atom_site_fract_x
_atom_site_fract_y
_atom_site_fract_z
Mo1 Mo 0.000 0.000 0.000
Os1 Os 0.000 0.500 0.750
W1 W 0.000 0.000 0.500
W2 W 0.000 0.500 0.250

***

7.
# ScZn2Mo | the Alexandria database | PBE-GGA | optimized geometry
# energy above the lowest structure with this stoichiometry = 0.001 eV/atom
# formation enthalpy at 0 K = -0.071 eV per atom
data_ScZn2Mo
_space_group_name_H-M_alt 'P 1 2/m 1'
_space_group_IT_number 10
_cell_length_a 2.944
_cell_length_b 3.903
_cell_length_c 5.676
_cell_angle_alpha 90.00
_cell_angle_beta 90.18
_cell_angle_gamma 90.00
loop_
_space_group_symop_operation_xyz
'x,y,z'
'-x,-y,-z'
'-x,y,-z'
'x,-y,z'
loop_
_atom_site_label
_atom_site_type_symbol
_atom_site_fract_x
_atom_site_fract_y
_atom_site_fract_z
Sc1 Sc 0.000 0.000 0.000
Zn1 Zn 0.500 0.500 0.269
Mo1 Mo 0.000 0.000 0.500

***

8.
# Zn6Ag5Au | the Alexandria database | PBE-GGA | optimized geometry
# energy above the lowest structure with this stoichiometry = 0.004 eV/atom
# formation enthalpy at 0 K = -0.068 eV per atom
data_Zn6Ag5Au
_space_group_name_H-M_alt 'C 1 2/m 1'
_space_group_IT_number 12
_cell_length_a 4.535
_cell_length_b 13.661
_cell_length_c 6.261
_cell_angle_alpha 90.00
_cell_angle_beta 90.22
_cell_angle_gamma 90.00
loop_
_space_group_symop_operation_xyz
'x,y,z'
'-x,-y,-z'
'-x,y,-z'
'x,-y,z'
'x+1/2,y+1/2,z'
'-x+1/2,-y+1/2,-z'
'-x+1/2,y+1/2,-z'
'x+1/2,-y+1/2,z'
loop_
_atom_site_label
_atom_site_type_symbol
_atom_site_fract_x
_atom_site_fract_y
_atom_site_fract_z
Zn1 Zn 0.000 0.000 0.244
Zn2 Zn 0.000 0.335 0.252
Ag1 Ag 0.000 0.166 0.500
Ag2 Ag 0.000 0.171 0.000
Ag3 Ag 0.000 0.500 0.500
Au1 Au 0.000 0.500 0.000

***

9.
# AcLa4Pr2Nd | the Alexandria database | PBE-GGA | optimized geometry
# formation enthalpy at 0 K = 0.014 eV per atom
data_AcLa4Pr2Nd
_space_group_name_H-M_alt 'P 1 2/m 1'
_space_group_IT_number 10
_cell_length_a 5.310
_cell_length_b 5.322
_cell_length_c 10.595
_cell_angle_alpha 90.00
_cell_angle_beta 90.09
_cell_angle_gamma 90.00
loop_
_space_group_symop_operation_xyz
'x,y,z'
'-x,-y,-z'
'-x,y,-z'
'x,-y,z'
loop_
_atom_site_label
_atom_site_type_symbol
_atom_site_fract_x
_atom_site_fract_y
_atom_site_fract_z
Ac1 Ac 0.000 0.000 0.000
La1 La 0.001 0.500 0.256
La2 La 0.499 0.000 0.744
Pr1 Pr 0.000 0.000 0.500
Pr2 Pr 0.500 0.500 0.000
Nd1 Nd 0.500 0.500 0.500

***

10.
# Cs2ThHgBr6 | the Alexandria database | PBE-GGA | optimized geometry
# raw formation energy = -1.617 eV per atom
data_Cs2ThHgBr6
_space_group_name_H-M_alt 'R -3 m'
_space_group_IT_number 166
_space_group_name_Hall '-R 3 2"'
_cell_length_a 8.1018
_cell_length_b 8.1018
_cell_length_c 59.8540
_cell_angle_alpha 90.00
_cell_angle_beta 90.00
_cell_angle_gamma 120.00
loop_
_atom_site_label
_atom_site_type_symbol
_atom_site_fract_x
_atom_site_fract_y
_atom_site_fract_z
Cs1 Cs 0.0000 0.0000 0.1431
Cs2 Cs 0.0000 0.0000 0.3099
Th1 Th 0.0000 0.0000 0.0000
Th2 Th 0.0000 0.0000 0.5000
Hg1 Hg 0.0000 0.0000 0.4161
Br1 Br 0.0002 0.5001 0.3062
Br2 Br 0.0010 0.5005 0.8604

***

11.
# Ba2TlW | the Alexandria database | PBE-GGA | optimized geometry
# energy above the lowest structure with this stoichiometry = 0.195 eV/atom
# formation enthalpy at 0 K = 0.937 eV per atom
data_Ba2TlW
_space_group_name_H-M_alt 'F 2 2 2'
_space_group_IT_number 22
_space_group_name_Hall 'F 2 2'
_cell_length_a 8.027
_cell_length_b 8.037
_cell_length_c 8.049
_cell_angle_alpha 90.00
_cell_angle_beta 90.00
_cell_angle_gamma 90.00
loop_
_atom_site_label
_atom_site_type_symbol
_atom_site_fract_x
_atom_site_fract_y
_atom_site_fract_z
Ba1 Ba 0.000 0.000 0.000
Ba2 Ba 0.250 0.250 0.250
Tl1 Tl 0.250 0.250 0.750
W1 W 0.000 0.000 0.500

***

12.
# CaNdGaHg | the Alexandria database | PBE-GGA | optimized geometry
# formation enthalpy at 0 K = -0.529 eV per atom
data_CaNdGaHg
_space_group_name_H-M_alt 'F -4 3 m'
_space_group_IT_number 216
_space_group_name_Hall 'F -4 2 3'
_cell_length_a 7.515
_cell_length_b 7.515
_cell_length_c 7.515
_cell_angle_alpha 90.00
_cell_angle_beta 90.00
_cell_angle_gamma 90.00
loop_
_atom_site_label
_atom_site_type_symbol
_atom_site_fract_x
_atom_site_fract_y
_atom_site_fract_z
Ca1 Ca 0.000 0.000 0.000
Nd1 Nd 0.000 0.000 0.500
Ga1 Ga 0.250 0.250 0.750
Hg1 Hg 0.250 0.250 0.250

***

Repeat the sixth record exactly.
# MoOsW2 | the Alexandria database | PBE-GGA | optimized geometry
# energy above the lowest structure with this stoichiometry = 0.105 eV/atom
# formation enthalpy at 0 K = 0.241 eV per atom
data_MoOsW2
_space_group_name_H-M_alt 'I -4 m 2'
_space_group_IT_number 119
_space_group_name_Hall 'I -4 -2'
_cell_length_a 3.931
_cell_length_b 3.931
_cell_length_c 8.155
_cell_angle_alpha 90.00
_cell_angle_beta 90.00
_cell_angle_gamma 90.00
loop_
_atom_site_label
_atom_site_type_symbol
_atom_site_fract_x
_atom_site_fract_y
_atom_site_fract_z
Mo1 Mo 0.000 0.000 0.000
Os1 Os 0.000 0.500 0.750
W1 W 0.000 0.000 0.500
W2 W 0.000 0.500 0.250